Below is crystalline TaTlRh2 at its relaxed geometry, with properties calculated at the PBE level.

abc: 2.9953 2.9953 7.7049
angles: 90.00 90.00 90.00
Last column: nearest neighbours and their distance in Å.
Fractional coordinates of all 4 atoms:
Rh 0.0000 0.0000 0.2262  4 Ta 2.74, 4 Tl 2.99, 4 Rh 3.00
Ta 0.5000 0.5000 0.0000  8 Rh 2.74, 4 Ta 3.00
Rh 0.0000 0.0000 0.7738  4 Ta 2.74, 4 Tl 2.99, 4 Rh 3.00
Tl 0.5000 0.5000 0.5000  8 Rh 2.99, 4 Tl 3.00

Computed properties:
SG = P4/mmm (123)
crystal system = tetragonal

=====

Below is crystalline Ta2TlRh2 at its relaxed geometry, with properties calculated at the PBE level.

abc: 7.7546 7.7546 2.9539
angles: 90.00 90.00 90.00
Last column: nearest neighbours and their distance in Å.
Fractional coordinates of all 10 atoms:
Ta 0.3390 0.1610 0.5000  6 Rh 2.71-2.73, 2 Ta 2.95
Rh 0.1301 0.3699 0.0000  6 Ta 2.71-2.73, 3 Rh 2.85-2.95
Tl 0.5000 0.5000 0.0000  2 Tl 2.95, 4 Rh 3.04, 8 Ta 3.26
Rh 0.6301 0.1301 0.0000  6 Ta 2.71-2.73, 3 Rh 2.85-2.95
Ta 0.6610 0.8390 0.5000  6 Rh 2.71-2.73, 2 Ta 2.95
Rh 0.8699 0.6301 0.0000  6 Ta 2.71-2.73, 3 Rh 2.85-2.95
Ta 0.8390 0.3390 0.5000  6 Rh 2.71-2.73, 2 Ta 2.95
Ta 0.1610 0.6610 0.5000  6 Rh 2.71-2.73, 2 Ta 2.95
Tl 0.0000 0.0000 0.0000  2 Tl 2.95, 4 Rh 3.04, 8 Ta 3.26
Rh 0.3699 0.8699 0.0000  6 Ta 2.71-2.73, 3 Rh 2.85-2.95

Computed properties:
offset from the most stable computed form = 0.00 eV/f.u.
SG = P4/mbm (127)
crystal system = tetragonal

=====

Below is crystalline TaTlRh2 at its relaxed geometry, with properties calculated at the PBE level.

abc: 4.5868 4.5868 4.5868
angles: 60.00 60.00 60.00
Last column: nearest neighbours and their distance in Å.
Fractional coordinates of all 4 atoms:
Tl 0.2500 0.2500 0.2500  4 Ta 2.81, 4 Rh 2.81
Rh 0.7500 0.7500 0.7500  4 Ta 2.81, 4 Rh 2.81
Ta 0.5000 0.5000 0.5000  4 Tl 2.81, 4 Rh 2.81
Rh 0.0000 0.0000 0.0000  4 Tl 2.81, 4 Rh 2.81

Computed properties:
SG = F-43m (216)
crystal system = cubic

=====

Below is crystalline TaTlRh2 at its relaxed geometry, with properties calculated at the PBE level.

abc: 4.8093 4.8093 2.9894
angles: 90.00 90.00 102.02
Last column: nearest neighbours and their distance in Å.
Fractional coordinates of all 4 atoms:
Ta 0.0000 0.0000 0.5000  8 Rh 2.83, 2 Ta 2.99, 2 Tl 3.03
Rh 0.0000 0.5000 0.0000  4 Tl 2.83, 4 Ta 2.83, 4 Rh 2.99-3.03
Rh 0.5000 0.0000 0.0000  4 Tl 2.83, 4 Ta 2.83, 4 Rh 2.99-3.03
Tl 0.5000 0.5000 0.5000  8 Rh 2.83, 2 Tl 2.99, 2 Ta 3.03

Computed properties:
SG = Cmmm (65)
crystal system = orthorhombic

=====

Below is crystalline Ta2TlRh2 at its relaxed geometry, with properties calculated at the PBE level.

abc: 7.8891 7.8891 2.9323
angles: 90.00 90.00 90.00
Last column: nearest neighbours and their distance in Å.
Fractional coordinates of all 10 atoms:
Tl 0.0000 0.0000 0.0000  2 Tl 2.93, 4 Ta 2.99
Rh 0.1354 0.6354 0.5000  6 Ta 2.71-2.78, 3 Rh 2.93-3.02
Ta 0.8475 0.6525 0.0000  6 Rh 2.71-2.78, 2 Ta 2.93, 2 Tl 2.99
Rh 0.3646 0.1354 0.5000  6 Ta 2.71-2.78, 3 Rh 2.93-3.02
Ta 0.6525 0.1525 0.0000  6 Rh 2.71-2.78, 2 Ta 2.93, 2 Tl 2.99
Ta 0.1525 0.3475 0.0000  6 Rh 2.71-2.78, 2 Ta 2.93, 2 Tl 2.99
Tl 0.5000 0.5000 0.0000  2 Tl 2.93, 4 Ta 2.99
Rh 0.6354 0.8646 0.5000  6 Ta 2.71-2.78, 3 Rh 2.93-3.02
Ta 0.3475 0.8475 0.0000  6 Rh 2.71-2.78, 2 Ta 2.93, 2 Tl 2.99
Rh 0.8646 0.3646 0.5000  6 Ta 2.71-2.78, 3 Rh 2.93-3.02

Computed properties:
offset from the most stable computed form = 0.50 eV/f.u.
SG = P4/mbm (127)
crystal system = tetragonal

=====

Below is crystalline TaTlRh2 at its relaxed geometry, with properties calculated at the PBE level.

abc: 2.9579 2.9579 7.8923
angles: 90.00 90.00 90.00
Last column: nearest neighbours and their distance in Å.
Fractional coordinates of all 4 atoms:
Rh 0.0000 0.0000 0.0118  8 Rh 2.81-2.96, 4 Tl 2.84
Rh 0.5000 0.5000 0.2498  4 Ta 2.72, 8 Rh 2.81-2.96
Tl 0.5000 0.5000 0.7682  4 Rh 2.84, 4 Tl 2.96, 4 Ta 3.15
Ta 0.0000 0.0000 0.4702  4 Rh 2.72, 4 Ta 2.96

Computed properties:
SG = P4mm (99)
crystal system = tetragonal

=====

no.,size of the total moment (μB/f.u.),E_form (meV/atom),total DFT energy (no corrections) (Ha/atom)
1,0.000,-232,-0.274
2,0.000,-181,-0.306
3,0.000,226,-0.257
4,0.000,-75,-0.268
5,0.000,-81,-0.303
6,0.000,164,-0.260